Entry 1:
Crystalline FeAsPbBr2 at its relaxed geometry, computed with PBE.

Geometry as CIF:
```
data_FeAsPbBr2
_chemical_formula_sum 'Fe1 As1 Pb1 Br2'
_cell_length_a 5.701
_cell_length_b 5.701
_cell_length_c 4.472
_cell_angle_alpha 90.00
_cell_angle_beta 90.00
_cell_angle_gamma 90.00
_space_group_name_H-M_alt 'P 4/m m m'
_space_group_IT_number 123
_space_group_name_Hall '-P 4 2'
loop_
_atom_site_label
_atom_site_type_symbol
_atom_site_fract_x
_atom_site_fract_y
_atom_site_fract_z
_atom_site_occupancy
Fe1 Fe 0.000 0.000 0.000 1
As1 As 0.000 0.000 0.500 1
Pb1 Pb 0.500 0.500 0.000 1
Br1 Br 0.000 0.500 0.500 1
```

Entry 2:
Crystalline FeAs2PdBr at its relaxed geometry, computed with PBE.

Geometry as CIF:
```
data_FeAs2PdBr
_chemical_formula_sum 'Fe1 As2 Pd1 Br1'
_cell_length_a 4.434
_cell_length_b 4.434
_cell_length_c 5.214
_cell_angle_alpha 90.00
_cell_angle_beta 90.00
_cell_angle_gamma 90.00
_space_group_name_H-M_alt 'P 4/m m m'
_space_group_IT_number 123
_space_group_name_Hall '-P 4 2'
loop_
_atom_site_label
_atom_site_type_symbol
_atom_site_fract_x
_atom_site_fract_y
_atom_site_fract_z
_atom_site_occupancy
Fe1 Fe 0.000 0.000 0.000 1
As1 As 0.000 0.500 0.000 1
Pd1 Pd 0.500 0.500 0.500 1
Br1 Br 0.000 0.000 0.500 1
```

Entry 3:
Crystalline FeAsPdBr2 at its relaxed geometry, computed with PBE.

Geometry as CIF:
```
data_FeAsPdBr2
_chemical_formula_sum 'Fe1 As1 Pd1 Br2'
_cell_length_a 5.051
_cell_length_b 5.051
_cell_length_c 4.527
_cell_angle_alpha 90.00
_cell_angle_beta 90.00
_cell_angle_gamma 90.00
_space_group_name_H-M_alt 'P 4/m m m'
_space_group_IT_number 123
_space_group_name_Hall '-P 4 2'
loop_
_atom_site_label
_atom_site_type_symbol
_atom_site_fract_x
_atom_site_fract_y
_atom_site_fract_z
_atom_site_occupancy
Fe1 Fe 0.000 0.000 0.000 1
As1 As 0.000 0.000 0.500 1
Pd1 Pd 0.500 0.500 0.500 1
Br1 Br 0.000 0.500 0.000 1
```

Entry 4:
Crystalline FeAsPtBr2 at its relaxed geometry, computed with PBE.

Geometry as CIF:
```
data_FeAsPtBr2
_chemical_formula_sum 'Fe1 As1 Pt1 Br2'
_cell_length_a 5.265
_cell_length_b 5.265
_cell_length_c 4.795
_cell_angle_alpha 90.00
_cell_angle_beta 90.00
_cell_angle_gamma 90.00
_space_group_name_H-M_alt 'P 4/m m m'
_space_group_IT_number 123
_space_group_name_Hall '-P 4 2'
loop_
_atom_site_label
_atom_site_type_symbol
_atom_site_fract_x
_atom_site_fract_y
_atom_site_fract_z
_atom_site_occupancy
Fe1 Fe 0.000 0.000 0.000 1
As1 As 0.500 0.500 0.000 1
Pt1 Pt 0.500 0.500 0.500 1
Br1 Br 0.000 0.500 0.500 1
```

Entry 5:
Crystalline Rb2FeAsBr6 at its relaxed geometry, computed with PBE.

Geometry as CIF:
```
data_Rb2FeAsBr6
_chemical_formula_sum 'Rb4 Fe2 As2 Br12'
_cell_length_a 7.657
_cell_length_b 7.657
_cell_length_c 10.775
_cell_angle_alpha 90.00
_cell_angle_beta 90.00
_cell_angle_gamma 90.00
_space_group_name_H-M_alt 'I 4/m m m'
_space_group_IT_number 139
_space_group_name_Hall '-I 4 2'
loop_
_atom_site_label
_atom_site_type_symbol
_atom_site_fract_x
_atom_site_fract_y
_atom_site_fract_z
_atom_site_occupancy
Rb1 Rb 0.000 0.500 0.250 1
Fe1 Fe 0.000 0.000 0.000 1
As1 As 0.000 0.000 0.500 1
Br1 Br 0.000 0.000 0.243 1
Br2 Br 0.243 0.243 0.000 1
```

Entry 6:
Crystalline FeReAsBr2 at its relaxed geometry, computed with PBE.

Geometry as CIF:
```
data_FeReAsBr2
_chemical_formula_sum 'Fe1 Re1 As1 Br2'
_cell_length_a 4.684
_cell_length_b 4.684
_cell_length_c 5.397
_cell_angle_alpha 90.00
_cell_angle_beta 90.00
_cell_angle_gamma 90.00
_space_group_name_H-M_alt 'P 4/m m m'
_space_group_IT_number 123
_space_group_name_Hall '-P 4 2'
loop_
_atom_site_label
_atom_site_type_symbol
_atom_site_fract_x
_atom_site_fract_y
_atom_site_fract_z
_atom_site_occupancy
Fe1 Fe 0.000 0.000 0.000 1
Re1 Re 0.500 0.500 0.500 1
As1 As 0.000 0.000 0.500 1
Br1 Br 0.000 0.500 0.000 1
```

Entry 7:
Crystalline FeAsRhBr2 at its relaxed geometry, computed with PBE.

Geometry as CIF:
```
data_FeAsRhBr2
_chemical_formula_sum 'Fe1 As1 Rh1 Br2'
_cell_length_a 5.199
_cell_length_b 5.199
_cell_length_c 4.664
_cell_angle_alpha 90.00
_cell_angle_beta 90.00
_cell_angle_gamma 90.00
_space_group_name_H-M_alt 'P 4/m m m'
_space_group_IT_number 123
_space_group_name_Hall '-P 4 2'
loop_
_atom_site_label
_atom_site_type_symbol
_atom_site_fract_x
_atom_site_fract_y
_atom_site_fract_z
_atom_site_occupancy
Fe1 Fe 0.000 0.000 0.000 1
As1 As 0.500 0.500 0.000 1
Rh1 Rh 0.500 0.500 0.500 1
Br1 Br 0.000 0.500 0.500 1
```

Entry 8:
Crystalline FeAs2RhBr at its relaxed geometry, computed with PBE.

Geometry as CIF:
```
data_FeAs2RhBr
_chemical_formula_sum 'Fe1 As2 Rh1 Br1'
_cell_length_a 4.412
_cell_length_b 4.412
_cell_length_c 5.033
_cell_angle_alpha 90.00
_cell_angle_beta 90.00
_cell_angle_gamma 90.00
_space_group_name_H-M_alt 'P 4/m m m'
_space_group_IT_number 123
_space_group_name_Hall '-P 4 2'
loop_
_atom_site_label
_atom_site_type_symbol
_atom_site_fract_x
_atom_site_fract_y
_atom_site_fract_z
_atom_site_occupancy
Fe1 Fe 0.000 0.000 0.000 1
As1 As 0.000 0.500 0.000 1
Rh1 Rh 0.500 0.500 0.500 1
Br1 Br 0.000 0.000 0.500 1
```

Number 1: formation energy from raw total energies 0.360 eV per atom. Number 2: formation energy from raw total energies 0.478 eV per atom. Number 3: formation energy from raw total energies 0.494 eV per atom. Number 4: formation energy from raw total energies 0.737 eV per atom. Number 5: formation energy from raw total energies -0.831 eV per atom. Number 6: formation energy from raw total energies 1.293 eV per atom. Number 7: formation energy from raw total energies 0.654 eV per atom. Number 8: formation energy from raw total energies 0.689 eV per atom.